1.
NiGe2BiRu (PBE, optimized geometry); total magnetization = 0.869 μB per cell; SG = P4/mmm, No. 123; density of states at the Fermi level = 1.07 states/eV per atom; calculated density = 8.27 Mg/m³; E_tot = -4.9422 eV/atom; DFT formation energy = 0.692 eV/atom
1.0
-1.725 4.045 -0.205
-1.200 -0.250 5.182
3.927 1.725 0.993
Ni Ge Ru Bi
1 2 1 1
Cartesian
0.000 0.000 0.000
-0.863 2.023 -0.102
1.963 0.863 0.496
0.501 2.760 2.985
-0.600 -0.125 2.591

2.
SiNi2GeBi (PBE, optimized geometry); total magnetization = 0.000 μB per cell; E_form (uncorrected) = 1.285 eV/atom; SG = P4/mmm, No. 123; density of states at the Fermi level = 0.95 states/eV per atom; calculated density = 5.82 Mg/m³; E_tot = -3.8116 eV/atom
1.0
4.776 0.000 0.000
0.000 5.347 0.000
0.000 0.000 4.776
Bi Ge Ni Si
1 1 2 1
Cartesian
0.000 0.000 0.000
2.388 2.674 2.388
2.388 0.000 0.000
0.000 0.000 2.388
0.000 2.674 0.000

3.
SrNiGeBi2 (PBE, optimized geometry); total magnetization = 0.000 μB per cell; SG = P4/mmm, No. 123; density of states at the Fermi level = 1.40 states/eV per atom; calculated density = 6.13 Mg/m³; E_tot = -3.2942 eV/atom; DFT formation energy = 0.674 eV/atom
1.0
-4.936 2.262 -0.706
-0.117 -1.946 -5.411
-2.367 -4.630 1.716
Bi Ni Ge Sr
2 1 1 1
Cartesian
-1.183 -2.315 0.858
-2.468 1.131 -0.353
-3.710 -2.157 -2.201
0.000 0.000 0.000
-0.059 -0.973 -2.706

4.
NpGe2BiO8 (PBE, optimized geometry); total magnetization = 2.000 μB per cell; E_form (uncorrected) = -1.720 eV/atom; SG = P-3m1, No. 164; density of states at the Fermi level = 0.56 states/eV per atom; calculated density = 6.36 Mg/m³; E_tot = -7.1971 eV/atom
1.0
-3.710 0.667 4.147
-1.521 -2.591 -4.731
1.926 -6.056 2.698
Ge O Np Bi
2 8 1 1
Cartesian
-0.914 -5.709 0.101
-2.392 -2.270 2.013
-1.916 -3.766 2.679
-1.389 -4.213 -0.565
-0.351 -6.858 -1.153
-2.254 -6.515 0.974
-2.954 -1.122 3.267
-3.734 -2.451 0.841
0.429 -5.529 1.273
-1.051 -1.464 1.140
0.000 0.000 0.000
0.963 -3.028 1.349